DyNiB3 | GGA-PBE | relaxed

Unit cell a=10.304 b=10.304 c=3.132 alpha=90.00 beta=90.00 gamma=160.63
Sites, in units of the cell vectors:
Dy 0.084 0.916 0.750
Dy 0.916 0.084 0.250
Ni 0.215 0.785 0.250
Ni 0.785 0.215 0.750
B 0.316 0.684 0.250
B 0.344 0.656 0.750
B 0.487 0.513 0.750
B 0.513 0.487 0.250
B 0.656 0.344 0.250
B 0.684 0.316 0.750

Calculated values
Raw total energy ... -6.424 eV/atom
Theoretical density ... 7.6 g cm⁻³